1.
# ErPuAlHg, relaxed, DFT PBE-GGA
data_ErPuAlHg
_cell_length_a 7.357
_cell_length_b 7.357
_cell_length_c 7.357
_cell_angle_alpha 90.00
_cell_angle_beta 90.00
_cell_angle_gamma 90.00
_symmetry_space_group_name_H-M 'F -4 3 m'
_symmetry_Int_Tables_number 216
_symmetry_space_group_name_Hall 'F -4 2 3'
loop_
_atom_site_label
_atom_site_type_symbol
_atom_site_fract_x
_atom_site_fract_y
_atom_site_fract_z
Er1 Er 0.000 0.000 0.000
Pu1 Pu 0.000 0.000 0.500
Al1 Al 0.250 0.250 0.750
Hg1 Hg 0.250 0.250 0.250
# D(E_F)	2.137	states/eV per atom
# size of the total moment	24.6	μB/cell
# total energy	-5.943	eV/atom

***

2.
# Er3Al3Hg2Rh, relaxed, DFT PBE-GGA
data_Er3Al3Hg2Rh
_cell_length_a 7.3638
_cell_length_b 7.3638
_cell_length_c 4.0577
_cell_angle_alpha 90.00
_cell_angle_beta 90.00
_cell_angle_gamma 120.00
_symmetry_space_group_name_H-M 'P -6 2 m'
_symmetry_Int_Tables_number 189
_symmetry_space_group_name_Hall 'P -6 -2'
loop_
_atom_site_label
_atom_site_type_symbol
_atom_site_fract_x
_atom_site_fract_y
_atom_site_fract_z
Er1 Er 0.0000 0.3990 0.0000
Al1 Al 0.0000 0.7721 0.5000
Hg1 Hg 0.3333 0.6667 0.5000
Rh1 Rh 0.0000 0.0000 0.0000
# D(E_F)	0.478	states/eV per atom
# size of the total moment	0.0	μB/cell
# total energy	-4.286	eV/atom

***

3.
# Er3Al3Hg2Ru, relaxed, DFT PBE-GGA
data_Er3Al3Hg2Ru
_cell_length_a 7.1120
_cell_length_b 7.1120
_cell_length_c 4.3631
_cell_angle_alpha 90.00
_cell_angle_beta 90.00
_cell_angle_gamma 120.00
_symmetry_space_group_name_H-M 'P -6 2 m'
_symmetry_Int_Tables_number 189
_symmetry_space_group_name_Hall 'P -6 -2'
loop_
_atom_site_label
_atom_site_type_symbol
_atom_site_fract_x
_atom_site_fract_y
_atom_site_fract_z
Er1 Er 0.0000 0.6024 0.0000
Al1 Al 0.0000 0.2217 0.5000
Hg1 Hg 0.3333 0.6667 0.5000
Ru1 Ru 0.0000 0.0000 0.0000
# D(E_F)	1.295	states/eV per atom
# size of the total moment	0.0	μB/cell
# total energy	-4.381	eV/atom

***

4.
# ErScAlHg, relaxed, DFT PBE-GGA
data_ErScAlHg
_cell_length_a 7.118
_cell_length_b 7.118
_cell_length_c 7.118
_cell_angle_alpha 90.00
_cell_angle_beta 90.00
_cell_angle_gamma 90.00
_symmetry_space_group_name_H-M 'F -4 3 m'
_symmetry_Int_Tables_number 216
_symmetry_space_group_name_Hall 'F -4 2 3'
loop_
_atom_site_label
_atom_site_type_symbol
_atom_site_fract_x
_atom_site_fract_y
_atom_site_fract_z
Er1 Er 0.000 0.000 0.000
Sc1 Sc 0.000 0.000 0.500
Al1 Al 0.250 0.250 0.250
Hg1 Hg 0.250 0.250 0.750
# D(E_F)	1.020	states/eV per atom
# size of the total moment	0.0	μB/cell
# total energy	-4.123	eV/atom

***

5.
# SmErAlHg, relaxed, DFT PBE-GGA
data_SmErAlHg
_cell_length_a 3.619
_cell_length_b 3.619
_cell_length_c 7.644
_cell_angle_alpha 90.00
_cell_angle_beta 90.00
_cell_angle_gamma 90.00
_symmetry_space_group_name_H-M 'P 4 m m'
_symmetry_Int_Tables_number 99
loop_
_symmetry_equiv_pos_as_xyz
'x,y,z'
'-y,x,z'
'-x,-y,z'
'y,-x,z'
'-x,y,z'
'y,x,z'
'x,-y,z'
'-y,-x,z'
loop_
_atom_site_label
_atom_site_type_symbol
_atom_site_fract_x
_atom_site_fract_y
_atom_site_fract_z
Sm1 Sm 0.000 0.000 0.000
Er1 Er 0.000 0.000 0.521
Al1 Al 0.500 0.500 0.753
Hg1 Hg 0.500 0.500 0.280
# ΔE to the lowest computed polymorph	0	meV per atom
# D(E_F)	0.626	states/eV per atom
# size of the total moment	0.0	μB/cell

***

6.
# SmErAlHg, relaxed, DFT PBE-GGA
data_SmErAlHg
_cell_length_a 7.412
_cell_length_b 7.412
_cell_length_c 7.412
_cell_angle_alpha 90.00
_cell_angle_beta 90.00
_cell_angle_gamma 90.00
_symmetry_space_group_name_H-M 'F -4 3 m'
_symmetry_Int_Tables_number 216
_symmetry_space_group_name_Hall 'F -4 2 3'
loop_
_atom_site_label
_atom_site_type_symbol
_atom_site_fract_x
_atom_site_fract_y
_atom_site_fract_z
Sm1 Sm 0.000 0.000 0.000
Er1 Er 0.000 0.000 0.500
Al1 Al 0.250 0.250 0.250
Hg1 Hg 0.250 0.250 0.750
# ΔE to the lowest computed polymorph	41	meV per atom
# D(E_F)	1.117	states/eV per atom
# size of the total moment	0.0	μB/cell